[1]
This record from Alexandria via LeMat-Bulk describes Pa5Tc4Au after structural relaxation. The functional is PBE.

The structure in POSCAR format:
```
Pa5Tc4Au
1.0
3.3510 0.0000 0.0000
0.0000 3.3510 0.0000
0.0000 0.0000 18.6488
Pa Tc Au
5 4 1
direct
0.0000 0.0000 0.0000
0.0000 0.0000 0.1918
0.0000 0.0000 0.3819
0.0000 0.0000 0.6181
0.0000 0.0000 0.8082
0.5000 0.5000 0.0978
0.5000 0.5000 0.2894
0.5000 0.5000 0.7106
0.5000 0.5000 0.9022
0.5000 0.5000 0.5000
```

Summary:
total energy	-94.08	eV per cell
formation enthalpy at 0 K	-186	meV/atom

***

[2]
This record from Alexandria via LeMat-Bulk describes PaTc2Au after structural relaxation. The functional is PBE.

The structure in POSCAR format:
```
PaTc2Au
1.0
3.2434 0.0000 0.0000
-1.6217 2.8089 0.0000
0.0000 0.0000 27.3088
Pa Tc Au
3 6 3
direct
0.0000 0.0000 0.0000
0.3333 0.6667 0.6667
0.6667 0.3333 0.3333
0.0000 0.0000 0.4000
0.0000 0.0000 0.6000
0.3333 0.6667 0.0666
0.3333 0.6667 0.2667
0.6667 0.3333 0.7333
0.6667 0.3333 0.9334
0.0000 0.0000 0.5000
0.3333 0.6667 0.1667
0.6667 0.3333 0.8333
```

Summary:
total energy	-93.52	eV per cell
E above lowest polymorph	772	meV/atom
formation enthalpy at 0 K	583	meV/atom

***

[3]
This record from Alexandria via LeMat-Bulk describes PaTc2Au after structural relaxation. The functional is PBE.

The structure in POSCAR format:
```
PaTc2Au
1.0
6.5895 0.0000 0.0000
0.0000 6.5895 0.0000
0.0000 0.0000 6.5895
Pa Tc Au
4 8 4
direct
0.0000 0.0000 0.0000
0.0000 0.5000 0.5000
0.5000 0.0000 0.5000
0.5000 0.5000 0.0000
0.2500 0.2500 0.2500
0.2500 0.2500 0.7500
0.2500 0.7500 0.2500
0.2500 0.7500 0.7500
0.7500 0.2500 0.2500
0.7500 0.2500 0.7500
0.7500 0.7500 0.2500
0.7500 0.7500 0.7500
0.0000 0.0000 0.5000
0.0000 0.5000 0.0000
0.5000 0.0000 0.0000
0.5000 0.5000 0.5000
```

Summary:
total energy	-132.24	eV per cell
E above lowest polymorph	301	meV/atom
formation enthalpy at 0 K	111	meV/atom

***

[4]
This record from Alexandria via LeMat-Bulk describes UPaTcAu after structural relaxation. The functional is PBE.

The structure in POSCAR format:
```
UPaTcAu
1.0
6.7513 0.0000 0.0000
0.0000 6.7513 0.0000
0.0000 0.0000 6.7513
U Pa Tc Au
4 4 4 4
direct
0.0000 0.0000 0.0000
0.0000 0.5000 0.5000
0.5000 0.0000 0.5000
0.5000 0.5000 0.0000
0.2500 0.2500 0.7500
0.2500 0.7500 0.2500
0.7500 0.2500 0.2500
0.7500 0.7500 0.7500
0.0000 0.0000 0.5000
0.0000 0.5000 0.0000
0.5000 0.0000 0.0000
0.5000 0.5000 0.5000
0.2500 0.2500 0.2500
0.2500 0.7500 0.7500
0.7500 0.2500 0.7500
0.7500 0.7500 0.2500
```

Summary:
total energy	-139.98	eV per cell
formation enthalpy at 0 K	-142	meV/atom

***

[5]
This record from Alexandria via LeMat-Bulk describes YPaTcAu after structural relaxation. The functional is PBE.

The structure in POSCAR format:
```
YPaTcAu
1.0
7.0459 0.0000 0.0000
0.0000 7.0459 0.0000
0.0000 0.0000 7.0459
Y Pa Tc Au
4 4 4 4
direct
0.0000 0.0000 0.0000
0.0000 0.5000 0.5000
0.5000 0.0000 0.5000
0.5000 0.5000 0.0000
0.0000 0.0000 0.5000
0.0000 0.5000 0.0000
0.5000 0.0000 0.0000
0.5000 0.5000 0.5000
0.2500 0.2500 0.2500
0.2500 0.7500 0.7500
0.7500 0.2500 0.7500
0.7500 0.7500 0.2500
0.2500 0.2500 0.7500
0.2500 0.7500 0.2500
0.7500 0.2500 0.2500
0.7500 0.7500 0.7500
```

Summary:
total energy	-121.87	eV per cell
formation enthalpy at 0 K	-216	meV/atom

***

[6]
This record from Alexandria via LeMat-Bulk describes PaZnTcAu after structural relaxation. The functional is PBE.

The structure in POSCAR format:
```
PaZnTcAu
1.0
6.7185 0.0000 0.0000
0.0000 6.7185 0.0000
0.0000 0.0000 6.7185
Pa Zn Tc Au
4 4 4 4
direct
0.0000 0.0000 0.0000
0.0000 0.5000 0.5000
0.5000 0.0000 0.5000
0.5000 0.5000 0.0000
0.0000 0.0000 0.5000
0.0000 0.5000 0.0000
0.5000 0.0000 0.0000
0.5000 0.5000 0.5000
0.2500 0.2500 0.7500
0.2500 0.7500 0.2500
0.7500 0.2500 0.2500
0.7500 0.7500 0.7500
0.2500 0.2500 0.2500
0.2500 0.7500 0.7500
0.7500 0.2500 0.7500
0.7500 0.7500 0.2500
```

Summary:
total energy	-97.98	eV per cell
formation enthalpy at 0 K	-20	meV/atom

***

[7]
This record from Alexandria via LeMat-Bulk describes ZrPaTcAu after structural relaxation. The functional is PBE.

The structure in POSCAR format:
```
ZrPaTcAu
1.0
6.8972 0.0000 0.0000
0.0000 6.8972 0.0000
0.0000 0.0000 6.8972
Zr Pa Tc Au
4 4 4 4
direct
0.0000 0.0000 0.0000
0.0000 0.5000 0.5000
0.5000 0.0000 0.5000
0.5000 0.5000 0.0000
0.0000 0.0000 0.5000
0.0000 0.5000 0.0000
0.5000 0.0000 0.0000
0.5000 0.5000 0.5000
0.2500 0.2500 0.2500
0.2500 0.7500 0.7500
0.7500 0.2500 0.7500
0.7500 0.7500 0.2500
0.2500 0.2500 0.7500
0.2500 0.7500 0.2500
0.7500 0.2500 0.2500
0.7500 0.7500 0.7500
```

Summary:
total energy	-129.94	eV per cell
formation enthalpy at 0 K	-200	meV/atom

***

[8]
This record from Alexandria via LeMat-Bulk describes PaTe3Au2 after structural relaxation. The functional is PBE.

The structure in POSCAR format:
```
PaTe3Au2
1.0
7.9924 0.0000 0.0000
0.0000 4.3608 0.0000
-3.5623 0.0000 10.7258
Pa Te Au
2 6 4
direct
0.1613 0.2500 0.1896
0.8387 0.7500 0.8104
0.0474 0.7500 0.3520
0.3015 0.7500 0.0376
0.4481 0.7500 0.6799
0.5519 0.2500 0.3201
0.6985 0.2500 0.9624
0.9526 0.2500 0.6480
0.1129 0.2500 0.9071
0.4105 0.7500 0.4084
0.5895 0.2500 0.5916
0.8871 0.7500 0.0929
```

Summary:
uncorrected formation energy	-0.466	eV per atom
total energy	-56.55	eV per cell

***

[9]
This record from Alexandria via LeMat-Bulk describes PaTe4Au after structural relaxation. The functional is PBE.

The structure in POSCAR format:
```
PaTe4Au
1.0
4.6312 -7.1517 0.0000
4.6312 7.1517 0.0000
-4.0562 0.0000 5.6882
Pa Te Au
2 8 2
direct
0.1257 0.8743 0.7500
0.8743 0.1257 0.2500
0.1010 0.5548 0.3352
0.2253 0.2708 0.7289
0.2708 0.2253 0.2289
0.4452 0.8990 0.1648
0.5548 0.1010 0.8352
0.7292 0.7747 0.7711
0.7747 0.7292 0.2711
0.8990 0.4452 0.6648
0.4041 0.5959 0.2500
0.5959 0.4041 0.7500
```

Summary:
uncorrected formation energy	-0.393	eV per atom
total energy	-55.40	eV per cell

***

[10]
This record from Alexandria via LeMat-Bulk describes PaTe6Au2 after structural relaxation. The functional is PBE.

The structure in POSCAR format:
```
PaTe6Au2
1.0
7.6797 -5.0716 0.0000
7.6797 5.0716 0.0000
-3.3415 0.0000 7.4674
Pa Te Au
2 12 4
direct
0.1437 0.8563 0.7500
0.8563 0.1437 0.2500
0.0376 0.3563 0.2370
0.0492 0.7936 0.3308
0.2064 0.9508 0.1693
0.3450 0.4893 0.5903
0.3563 0.0376 0.7370
0.4893 0.3450 0.0903
0.5107 0.6550 0.9097
0.6437 0.9624 0.2630
0.6550 0.5107 0.4097
0.7936 0.0492 0.8308
0.9508 0.2064 0.6692
0.9624 0.6437 0.7630
0.1567 0.3137 0.5943
0.3137 0.1567 0.0943
0.6863 0.8433 0.9057
0.8433 0.6863 0.4057
```

Summary:
uncorrected formation energy	-0.283	eV per atom
total energy	-74.89	eV per cell

***

[11]
This record from Alexandria via LeMat-Bulk describes Pa3Te6Au after structural relaxation. The functional is PBE.

The structure in POSCAR format:
```
Pa3Te6Au
1.0
5.8027 -7.2551 0.0000
5.8027 7.2551 0.0000
0.0000 0.0000 7.5565
Pa Te Au
6 12 2
direct
0.0849 0.9151 0.5000
0.2192 0.4314 0.6287
0.4314 0.2192 0.1287
0.5686 0.7808 0.6287
0.7808 0.5686 0.1287
0.9151 0.0849 0.0000
0.0432 0.5902 0.3741
0.1318 0.2259 0.3034
0.2259 0.1318 0.8034
0.2556 0.7444 0.7779
0.4098 0.9568 0.3741
0.4876 0.5124 0.3692
0.5124 0.4876 0.8692
0.5902 0.0432 0.8741
0.7444 0.2556 0.2779
0.7741 0.8682 0.3034
0.8682 0.7741 0.8034
0.9568 0.4098 0.8741
0.1202 0.8798 0.1135
0.8798 0.1202 0.6135
```

Summary:
uncorrected formation energy	-0.713	eV per atom
total energy	-115.48	eV per cell

***

[12]
This record from Alexandria via LeMat-Bulk describes Pa2Te6Au after structural relaxation. The functional is PBE.

The structure in POSCAR format:
```
Pa2Te6Au
1.0
7.0752 0.0000 0.0000
0.0000 7.9155 0.0000
-6.6230 0.0000 9.6205
Pa Te Au
4 12 2
direct
0.1918 0.1471 0.2442
0.1918 0.3529 0.7442
0.8082 0.6471 0.2558
0.8082 0.8529 0.7558
0.1168 0.1511 0.9410
0.1168 0.3489 0.4410
0.2830 0.6689 0.9360
0.2830 0.8311 0.4360
0.4319 0.0386 0.7569
0.4319 0.4614 0.2569
0.5681 0.5386 0.7431
0.5681 0.9614 0.2431
0.7170 0.1689 0.5640
0.7170 0.3311 0.0640
0.8832 0.6511 0.5590
0.8832 0.8489 0.0590
0.0000 0.0000 0.5000
0.0000 0.5000 0.0000
```

Summary:
uncorrected formation energy	-0.591	eV per atom
total energy	-92.88	eV per cell

***

[13]
This record from Alexandria via LeMat-Bulk describes PaTeAu2 after structural relaxation. The functional is PBE.

The structure in POSCAR format:
```
PaTeAu2
1.0
7.1757 0.0000 0.0000
0.0000 7.1757 0.0000
0.0000 0.0000 7.1757
Pa Te Au
4 4 8
direct
0.0000 0.0000 0.0000
0.0000 0.5000 0.5000
0.5000 0.0000 0.5000
0.5000 0.5000 0.0000
0.0000 0.0000 0.5000
0.0000 0.5000 0.0000
0.5000 0.0000 0.0000
0.5000 0.5000 0.5000
0.2500 0.2500 0.2500
0.2500 0.2500 0.7500
0.2500 0.7500 0.2500
0.2500 0.7500 0.7500
0.7500 0.2500 0.2500
0.7500 0.2500 0.7500
0.7500 0.7500 0.2500
0.7500 0.7500 0.7500
```

Summary:
uncorrected formation energy	-0.279	eV per atom
total energy	-81.23	eV per cell

***

[14]
This record from Alexandria via LeMat-Bulk describes Pa3Te5Au after structural relaxation. The functional is PBE.

The structure in POSCAR format:
```
Pa3Te5Au
1.0
6.4425 -4.9801 0.0000
6.4425 4.9801 0.0000
-2.4950 0.0000 10.0943
Pa Te Au
6 10 2
direct
0.0000 0.0000 0.0000
0.0000 0.0000 0.5000
0.3019 0.3019 0.4377
0.3328 0.3328 0.8402
0.6672 0.6672 0.1598
0.6981 0.6981 0.5623
0.0003 0.3764 0.6330
0.9997 0.6236 0.3670
0.2426 0.2426 0.0867
0.3042 0.6958 0.0000
0.3764 0.0003 0.6330
0.4918 0.4918 0.6726
0.5082 0.5082 0.3274
0.6236 0.9997 0.3670
0.6958 0.3042 0.0000
0.7574 0.7574 0.9133
0.0840 0.0840 0.2768
0.9160 0.9160 0.7232
```

Summary:
uncorrected formation energy	-0.495	eV per atom
total energy	-103.86	eV per cell

***

[15]
This record from Alexandria via LeMat-Bulk describes ThPaTeAu after structural relaxation. The functional is PBE.

The structure in POSCAR format:
```
ThPaTeAu
1.0
7.4860 0.0000 0.0000
0.0000 7.4860 0.0000
0.0000 0.0000 7.4860
Th Pa Te Au
4 4 4 4
direct
0.0000 0.0000 0.0000
0.0000 0.5000 0.5000
0.5000 0.0000 0.5000
0.5000 0.5000 0.0000
0.0000 0.0000 0.5000
0.0000 0.5000 0.0000
0.5000 0.0000 0.0000
0.5000 0.5000 0.5000
0.2500 0.2500 0.2500
0.2500 0.7500 0.7500
0.7500 0.2500 0.7500
0.7500 0.7500 0.2500
0.2500 0.2500 0.7500
0.2500 0.7500 0.2500
0.7500 0.2500 0.2500
0.7500 0.7500 0.7500
```

Summary:
uncorrected formation energy	-0.447	eV per atom
total energy	-100.49	eV per cell

***

[16]
This record from Alexandria via LeMat-Bulk describes PaTl3Te6Au2 after structural relaxation. The functional is PBE.

The structure in POSCAR format:
```
PaTl3Te6Au2
1.0
3.4306 -7.8717 0.0000
3.4306 7.8717 0.0000
-2.7462 0.0000 7.4907
Pa Tl Te Au
1 3 6 2
direct
0.0000 0.0000 0.0000
0.1893 0.8107 0.5000
0.5000 0.5000 0.5000
0.8107 0.1893 0.5000
0.1303 0.4190 0.2025
0.1750 0.1750 0.7043
0.4190 0.1303 0.2025
0.5810 0.8697 0.7975
0.8250 0.8250 0.2957
0.8697 0.5810 0.7975
0.4061 0.5939 0.0000
0.5939 0.4061 0.0000
```

Summary:
uncorrected formation energy	-0.320	eV per atom
total energy	-45.83	eV per cell

***

[17]
This record from Alexandria via LeMat-Bulk describes ThPaAu after structural relaxation. The functional is PBE.

The structure in POSCAR format:
```
ThPaAu
1.0
5.0941 0.0000 0.0000
-2.5471 4.4116 0.0000
0.0000 0.0000 6.5859
Th Pa Au
2 2 2
direct
0.0000 0.0000 0.2476
0.0000 0.0000 0.7524
0.3333 0.6667 0.4102
0.6667 0.3333 0.5898
0.3333 0.6667 0.9157
0.6667 0.3333 0.0843
```

Summary:
total energy	-40.76	eV per cell
E above lowest polymorph	72	meV/atom
formation enthalpy at 0 K	-62	meV/atom

***

[18]
This record from Alexandria via LeMat-Bulk describes ThPaAu after structural relaxation. The functional is PBE.

The structure in POSCAR format:
```
ThPaAu
1.0
5.0939 0.0000 0.0000
-2.5470 4.4115 0.0000
0.0000 0.0000 3.3583
Th Pa Au
1 1 1
direct
0.0000 0.0000 0.0000
0.3333 0.6667 0.3865
0.6667 0.3333 0.6160
```

Summary:
total energy	-20.21	eV per cell
E above lowest polymorph	127	meV/atom
formation enthalpy at 0 K	-7	meV/atom

***

[19]
This record from Alexandria via LeMat-Bulk describes ThPaAu after structural relaxation. The functional is PBE.

The structure in POSCAR format:
```
ThPaAu
1.0
3.3085 0.0000 0.0000
0.0000 3.3085 0.0000
0.0000 0.0000 14.1767
Th Pa Au
2 2 2
direct
0.0000 0.0000 0.0000
0.5000 0.5000 0.5000
0.0000 0.0000 0.6884
0.5000 0.5000 0.1884
0.0000 0.0000 0.3387
0.5000 0.5000 0.8387
```

Summary:
total energy	-41.19	eV per cell
E above lowest polymorph	0	meV/atom
formation enthalpy at 0 K	-134	meV/atom

***

[20]
This record from Alexandria via LeMat-Bulk describes PaTi2Au after structural relaxation. The functional is PBE.

The structure in POSCAR format:
```
PaTi2Au
1.0
4.8590 0.0000 0.0000
0.0000 4.8590 0.0000
0.0000 0.0000 3.1433
Pa Ti Au
1 2 1
direct
0.0000 0.0000 0.0000
0.0000 0.5000 0.5000
0.5000 0.0000 0.5000
0.5000 0.5000 0.0000
```

Summary:
total energy	-29.17	eV per cell
E above lowest polymorph	0	meV/atom
formation enthalpy at 0 K	-152	meV/atom